Entry from OQMD: a relaxed structure of GdY2Fe6Ni3 (GGA-PBE).

Crystal system: trigonal
E in eV/f.u.: -85.8
Formation enthalpy at 0 K in eV per formula unit: -1.6
Space-group type: No. 166

Cell lengths 8.781, 8.781, 8.781 Å; angles 33.01, 33.01, 33.01 degrees
Positions (direct):
Gd 0.000 0.000 0.000
Y 0.141 0.141 0.141
Y 0.859 0.859 0.859
Fe 0.080 0.582 0.582
Fe 0.418 0.418 0.920
Fe 0.418 0.920 0.418
Fe 0.582 0.080 0.582
Fe 0.582 0.582 0.080
Fe 0.920 0.418 0.418
Ni 0.333 0.333 0.333
Ni 0.500 0.500 0.500
Ni 0.667 0.667 0.667